No. 1
Entry from Alexandria via LeMat-Bulk: a geometry-optimized CuSnPC structure (PBE-GGA).

The structure in POSCAR format:
```
CuSnPC
1.0
-0.066 -2.881 -0.772
3.266 0.258 -1.242
2.203 -1.518 5.477
P C Sn Cu
1 1 1 1
direct
0.500 0.000 0.093
0.000 0.000 0.268
0.000 0.500 0.506
0.500 0.500 0.860
```

Values from the calculation:
Space-group type   Pmm2 (25)
Crystal system   orthorhombic
Formation energy   1.15 eV/f.u.
E above lowest polymorph   0.000 eV/atom

***

No. 2
Entry from Alexandria via LeMat-Bulk: a geometry-optimized CuSnPC structure (PBE-GGA).

The structure in POSCAR format:
```
CuSnPC
1.0
3.601 0.026 0.019
-0.371 3.966 0.016
-0.520 -1.618 4.590
P C Sn Cu
1 1 1 1
direct
0.066 0.706 0.516
0.051 0.730 0.877
0.534 0.424 0.973
0.075 0.114 0.258
```

Values from the calculation:
Space-group type   P1 (1)
Crystal system   triclinic
Formation energy   2.47 eV/f.u.
E above lowest polymorph   0.330 eV/atom

***

No. 3
Entry from Alexandria via LeMat-Bulk: a geometry-optimized CuSnPC structure (PBE-GGA).

The structure in POSCAR format:
```
CuSnPC
1.0
6.730 0.000 -0.112
0.000 3.487 0.000
-1.731 0.000 5.813
P C Sn Cu
2 2 2 2
direct
0.951 0.000 0.475
0.951 0.500 0.975
0.682 0.000 0.385
0.682 0.500 0.885
0.523 0.000 0.999
0.523 0.500 0.499
0.118 0.000 0.862
0.118 0.500 0.362
```

Values from the calculation:
Space-group type   Cm (8)
Crystal system   monoclinic
Formation energy   1.68 eV/f.u.
E above lowest polymorph   0.131 eV/atom

***

No. 4
Entry from Alexandria via LeMat-Bulk: a geometry-optimized CuSnPC structure (PBE-GGA).

The structure in POSCAR format:
```
CuSnPC
1.0
8.041 0.000 -0.038
0.000 3.008 0.000
-1.198 0.000 5.002
P C Sn Cu
2 2 2 2
direct
0.296 0.000 0.820
0.296 0.500 0.320
0.387 0.000 0.187
0.387 0.500 0.687
0.705 0.000 0.295
0.705 0.500 0.795
0.005 0.000 0.709
0.005 0.500 0.209
```

Values from the calculation:
Space-group type   Cm (8)
Crystal system   monoclinic
Formation energy   1.72 eV/f.u.
E above lowest polymorph   0.141 eV/atom

***

No. 5
Entry from Alexandria via LeMat-Bulk: a geometry-optimized CuSnPC structure (PBE-GGA).

The structure in POSCAR format:
```
CuSnPC
1.0
6.773 0.000 -0.012
0.000 2.960 0.000
-6.014 0.000 6.950
P C Sn Cu
2 2 2 2
direct
0.863 0.000 0.901
0.863 0.500 0.401
0.830 0.000 0.492
0.830 0.500 0.992
0.507 0.000 0.510
0.507 0.500 0.010
0.074 0.000 0.785
0.074 0.500 0.285
```

Values from the calculation:
Space-group type   Cm (8)
Crystal system   monoclinic
Formation energy   1.54 eV/f.u.
E above lowest polymorph   0.098 eV/atom

***

No. 6
Entry from Alexandria via LeMat-Bulk: a geometry-optimized CuSnPC structure (PBE-GGA).

The structure in POSCAR format:
```
CuSnPC
1.0
6.255 0.000 0.037
0.000 3.641 0.000
-6.137 0.000 6.985
P C Sn Cu
2 2 2 2
direct
0.850 0.000 0.301
0.850 0.500 0.801
0.876 0.000 0.130
0.876 0.500 0.630
0.545 0.000 0.807
0.545 0.500 0.307
0.003 0.000 0.621
0.003 0.500 0.121
```

Values from the calculation:
Space-group type   Cm (8)
Crystal system   monoclinic
Formation energy   2.58 eV/f.u.
E above lowest polymorph   0.356 eV/atom

***

No. 7
Entry from Alexandria via LeMat-Bulk: a geometry-optimized CuSnPC structure (PBE-GGA).

The structure in POSCAR format:
```
CuSnPC
1.0
2.927 0.000 0.000
0.000 3.828 0.000
0.000 0.000 13.037
P C Sn Cu
2 2 2 2
direct
0.500 0.000 0.944
0.500 0.500 0.444
0.000 0.000 0.872
0.000 0.500 0.372
0.000 0.000 0.705
0.000 0.500 0.205
0.500 0.000 0.116
0.500 0.500 0.616
```

Values from the calculation:
Space-group type   Amm2 (38)
Crystal system   orthorhombic
Formation energy   1.43 eV/f.u.
E above lowest polymorph   0.069 eV/atom

***

No. 8
Entry from Alexandria via LeMat-Bulk: a geometry-optimized CuSnPC structure (PBE-GGA).

The structure in POSCAR format:
```
CuSnPC
1.0
-2.311 -1.147 1.554
2.825 -0.498 0.916
-0.270 6.341 4.277
P C Sn Cu
1 1 1 1
direct
0.667 0.333 0.296
0.000 0.000 0.389
0.000 0.000 0.707
0.667 0.333 0.001
```

Values from the calculation:
Space-group type   P3m1 (156)
Crystal system   trigonal
Formation energy   1.75 eV/f.u.
E above lowest polymorph   0.149 eV/atom

***

No. 9
Entry from Alexandria via LeMat-Bulk: a geometry-optimized CuSnPC structure (PBE-GGA).

The structure in POSCAR format:
```
CuSnPC
1.0
-1.029 -1.265 -2.427
3.454 -2.505 1.609
-4.886 -1.012 2.589
P C Sn Cu
1 1 1 1
direct
0.437 0.503 0.146
0.057 0.741 0.158
0.321 0.269 0.535
0.153 0.934 0.886
```

Values from the calculation:
Space-group type   P1 (1)
Crystal system   triclinic
Formation energy   1.76 eV/f.u.
E above lowest polymorph   0.151 eV/atom

***

No. 10
Entry from Alexandria via LeMat-Bulk: a geometry-optimized CuSnPC structure (PBE-GGA).

The structure in POSCAR format:
```
CuSnPC
1.0
-0.873 -2.666 -2.178
3.370 -3.393 -0.080
-2.163 -3.741 2.489
P C Sn Cu
1 1 1 1
direct
0.615 0.396 0.953
0.868 0.087 0.757
0.563 0.929 0.530
0.928 0.690 0.034
```

Values from the calculation:
Space-group type   P1 (1)
Crystal system   triclinic
Formation energy   2.16 eV/f.u.
E above lowest polymorph   0.251 eV/atom

***

No. 11
Entry from Alexandria via LeMat-Bulk: a geometry-optimized CuSnPC structure (PBE-GGA).

The structure in POSCAR format:
```
CuSnPC
1.0
-2.559 1.762 -1.552
2.568 -1.366 -1.899
-3.378 -5.466 -0.635
P C Sn Cu
1 1 1 1
direct
0.667 0.333 0.051
0.667 0.333 0.317
0.333 0.667 0.479
0.333 0.667 0.879
```

Values from the calculation:
Space-group type   P3m1 (156)
Crystal system   trigonal
Formation energy   1.68 eV/f.u.
E above lowest polymorph   0.132 eV/atom

***

No. 12
Entry from Alexandria via LeMat-Bulk: a geometry-optimized CuSnPC structure (PBE-GGA).

The structure in POSCAR format:
```
CuSnPC
1.0
-1.043 0.491 -2.739
0.576 -3.483 -0.843
-5.676 -1.401 1.910
P C Sn Cu
1 1 1 1
direct
0.500 0.000 0.221
0.000 0.000 0.062
0.500 0.500 0.537
0.000 0.500 0.907
```

Values from the calculation:
Space-group type   Pmm2 (25)
Crystal system   orthorhombic
Formation energy   1.73 eV/f.u.
E above lowest polymorph   0.144 eV/atom

***

Listing spin magnetization for the structures above in their given order: 0.000; 0.000; 0.000; 0.000; 0.000; 0.000; 0.000; 0.000; 0.000; 0.000; 0.000; 0.000 μB/f.u..